This record from Alexandria describes a relaxed structure of As2CI. The functional is PBE.

Results
The value obtained for the uncorrected formation energy is 950 meV/atom. The space group is I-42d (122).

The structure in extended XYZ format:
```
8
Lattice="6.6666 0.0000 0.0000 0.0000 6.6666 0.0000 3.3333 3.3333 3.8290" Properties=species:S:1:pos:R:3 pbc="T T T"
I 0.0000 0.0000 0.0000
I 6.6666 3.3333 1.9145
As 4.1880 1.6667 0.9572
As 2.4786 5.0000 0.9572
As 5.0000 5.8119 2.8717
As 8.3333 7.5213 2.8717
C 3.3333 3.3333 0.0000
C 3.3333 6.6666 1.9145
```



This record from Alexandria describes a relaxed structure of RbCuNiOs2. The functional is PBE.

Results
For the formation enthalpy at 0 K, the calculation gives 198 kJ per mole of atoms. The space group is P4/mmm (123).

The structure in extended XYZ format:
```
5
Lattice="-0.5355 -1.7456 -4.0996 4.9510 -2.5926 0.4573 -2.0378 -3.5760 1.7889" Properties=species:S:1:pos:R:3 pbc="T T T"
Ni 0.0000 0.0000 0.0000
Os -1.0189 -1.7880 0.8944
Os -0.2677 -0.8728 -2.0498
Cu 1.1889 -3.9571 -0.9267
Rb 2.4755 -1.2963 0.2286
```



This record from Alexandria describes a relaxed structure of ZrPb2Br. The functional is PBE.

Results
The value obtained for the uncorrected formation energy is -101 meV/atom. The space group is Cmmm (65).

The structure in extended XYZ format:
```
4
Lattice="-3.4151 -0.6484 4.5071 -3.3776 -1.6242 -4.2838 1.0605 -3.1352 0.3526" Properties=species:S:1:pos:R:3 pbc="T T T"
Pb 0.0000 0.0000 0.0000
Pb -3.3963 -1.1363 0.1117
Br -1.1585 -2.3797 -1.9656
Zr -1.1773 -1.8918 2.4298
```



This record from Alexandria describes a relaxed structure of Pu2Pa8Pd. The functional is PBE.

Results
For the formation enthalpy at 0 K, the calculation gives 14 kJ per mole of atoms. The space group is C2/m (12).

The structure in extended XYZ format:
```
11
Lattice="5.5217 -0.5359 -0.3743 0.1133 7.4449 0.3314 0.1133 2.8733 6.8761" Properties=species:S:1:pos:R:3 pbc="T T T"
Pu 4.5466 1.9339 1.3509
Pu 1.2016 7.8484 5.4823
Pa 0.9699 2.6262 3.9364
Pa 0.9699 4.5998 1.1111
Pa 4.7783 7.1561 2.8967
Pa 1.8417 5.8892 4.1137
Pa 4.7783 5.1825 5.7221
Pa 2.1900 1.3631 0.9521
Pa 3.5582 8.4192 5.8810
Pa 3.9066 3.8931 2.7194
Pd 0.0000 0.0000 0.0000
```



Taking the records one at a time from the top gives VASP energy values of -32.55, -23.02, -18.04, -108.22 eV per cell.